Record 1
# BePRhCl2 | Alexandria | PBE | relaxed
# **Offset from the most stable computed form**: 0 meV/atom
data_BePRhCl2
_cell_length_a 3.897
_cell_length_b 3.897
_cell_length_c 7.803
_cell_angle_alpha 90.00
_cell_angle_beta 90.00
_cell_angle_gamma 90.00
_space_group_name_H-M_alt 'P 4/m m m'
_space_group_IT_number 123
_space_group_name_Hall '-P 4 2'
loop_
_atom_site_label
_atom_site_fract_x
_atom_site_fract_y
_atom_site_fract_z
_atom_site_occupancy
Be1 0.000 0.000 0.000 1
P1 0.000 0.000 0.500 1
Rh1 0.500 0.500 0.500 1
Cl1 0.000 0.500 0.000 1



Record 2
# Nd2Sm12Y | Alexandria | PBE | relaxed
# **E_tot**: -4.687 eV/atom
data_Nd2Sm12Y
_cell_length_a 7.181
_cell_length_b 11.562
_cell_length_c 25.030
_cell_angle_alpha 90.00
_cell_angle_beta 90.00
_cell_angle_gamma 90.00
_space_group_name_H-M_alt 'C m m e'
_space_group_IT_number 67
_space_group_name_Hall '-C 2a 2'
loop_
_atom_site_label
_atom_site_fract_x
_atom_site_fract_y
_atom_site_fract_z
_atom_site_occupancy
Nd1 0.000 0.250 0.227 1
Nd2 0.000 0.250 0.766 1
Sm1 0.000 0.001 0.577 1
Sm2 0.000 0.023 0.060 1
Sm3 0.231 0.250 0.917 1
Sm4 0.249 0.250 0.372 1
Sm5 0.250 0.000 0.173 1
Sm6 0.250 0.000 0.301 1
Y1 0.000 0.250 0.500 1



Record 3
# ThZr2Al6 | Alexandria | PBE | relaxed
# **Offset from the most stable computed form**: 116 meV/atom
data_ThZr2Al6
_cell_length_a 4.221
_cell_length_b 7.008
_cell_length_c 13.067
_cell_angle_alpha 90.00
_cell_angle_beta 90.00
_cell_angle_gamma 90.00
_space_group_name_H-M_alt 'I m m m'
_space_group_IT_number 71
_space_group_name_Hall '-I 2 2'
loop_
_atom_site_label
_atom_site_fract_x
_atom_site_fract_y
_atom_site_fract_z
_atom_site_occupancy
Th1 0.000 0.000 0.000 1
Zr1 0.000 0.500 0.119 1
Al1 0.000 0.179 0.500 1
Al2 0.000 0.297 0.312 1



Record 4
# TbCoSi3 | Alexandria | PBE | relaxed
# **E_tot**: -6.272 eV/atom
data_TbCoSi3
_cell_length_a 4.067
_cell_length_b 4.067
_cell_length_c 9.534
_cell_angle_alpha 90.00
_cell_angle_beta 90.00
_cell_angle_gamma 90.00
_space_group_name_H-M_alt 'I 4 m m'
_space_group_IT_number 107
_space_group_name_Hall 'I 4 -2'
loop_
_atom_site_label
_atom_site_fract_x
_atom_site_fract_y
_atom_site_fract_z
_atom_site_occupancy
Tb1 0.000 0.000 0.000 1
Co1 0.000 0.000 0.657 1
Si1 0.000 0.000 0.424 1
Si2 0.000 0.500 0.258 1



Record 5
# CaTe2RhI | Alexandria | PBE | relaxed
# **Offset from the most stable computed form**: 943 meV/atom
data_CaTe2RhI
_cell_length_a 5.845
_cell_length_b 5.845
_cell_length_c 5.897
_cell_angle_alpha 90.00
_cell_angle_beta 90.00
_cell_angle_gamma 90.00
_space_group_name_H-M_alt 'P 4/m m m'
_space_group_IT_number 123
_space_group_name_Hall '-P 4 2'
loop_
_atom_site_label
_atom_site_fract_x
_atom_site_fract_y
_atom_site_fract_z
_atom_site_occupancy
Ca1 0.000 0.000 0.000 1
Te1 0.000 0.500 0.000 1
Rh1 0.500 0.500 0.500 1
I1 0.000 0.000 0.500 1



Record 6
# VTcHg2 | Alexandria | PBE | relaxed
# **Offset from the most stable computed form**: 319 meV/atom
data_VTcHg2
_cell_length_a 7.588
_cell_length_b 7.588
_cell_length_c 5.523
_cell_angle_alpha 90.00
_cell_angle_beta 90.00
_cell_angle_gamma 90.00
_space_group_name_H-M_alt 'I -4 2 d'
_space_group_IT_number 122
_space_group_name_Hall 'I -4 2bw'
loop_
_atom_site_label
_atom_site_fract_x
_atom_site_fract_y
_atom_site_fract_z
_atom_site_occupancy
V1 0.000 0.000 0.000 1
Tc1 0.000 0.000 0.500 1
Hg1 0.250 0.250 0.375 1